Record 1
Cs2Zn5P6H14O28 | PBE-GGA | relaxed

Cell lengths 7.991, 9.328, 9.750 Å; angles 110.06, 100.41, 108.92 degrees
Sites, in units of the cell vectors:
P 0.256 0.974 0.927
P 0.744 0.026 0.073
P 0.350 0.135 0.495
P 0.192 0.467 0.930
P 0.808 0.533 0.070
P 0.650 0.865 0.505
O 0.095 0.559 0.857
O 0.905 0.441 0.143
O 0.677 0.117 0.192
O 0.674 0.833 0.023
O 0.657 0.400 0.364
O 0.275 0.370 0.242
O 0.974 0.087 0.158
O 0.343 0.600 0.636
O 0.730 0.062 0.931
O 0.270 0.938 0.069
O 0.687 0.417 0.901
O 0.040 0.317 0.932
O 0.605 0.890 0.356
O 0.648 0.693 0.472
O 0.302 0.414 0.823
O 0.698 0.586 0.177
O 0.352 0.307 0.528
O 0.313 0.583 0.099
O 0.725 0.630 0.758
O 0.026 0.913 0.842
O 0.395 0.110 0.644
O 0.326 0.167 0.977
O 0.960 0.683 0.068
O 0.505 0.125 0.419
O 0.844 0.008 0.610
O 0.156 0.992 0.390
O 0.323 0.883 0.808
O 0.495 0.875 0.581
H 0.630 0.281 0.299
H 0.319 0.301 0.167
H 0.527 0.019 0.378
H 0.045 0.621 0.935
H 0.067 0.206 0.187
H 0.722 0.541 0.795
H 0.681 0.699 0.833
H 0.955 0.379 0.065
H 0.933 0.794 0.813
H 0.278 0.459 0.205
H 0.337 0.544 0.707
H 0.473 0.981 0.622
H 0.370 0.719 0.701
H 0.663 0.456 0.293
Cs 0.952 0.277 0.508
Cs 0.048 0.723 0.492
Zn 0.427 0.267 0.849
Zn 0.573 0.733 0.151
Zn 0.913 0.075 0.828
Zn 0.087 0.925 0.172
Zn 0.500 0.500 0.500

Record 2
CsTaH2O4 | PBE-GGA | relaxed

Output
M_tot (μB/cell): 0.0

Cell lengths 7.386, 7.386, 7.386 Å; angles 96.88, 116.11, 116.11 degrees
Sites, in units of the cell vectors:
Cs 0.000 0.500 0.500
Cs 0.500 0.250 0.750
H 0.000 0.191 0.191
H 0.500 0.559 0.059
H 0.000 0.809 0.809
H 0.500 0.941 0.441
O 0.660 0.608 0.264
O 0.343 0.736 0.396
O 0.840 0.697 0.854
O 0.340 0.604 0.947
O 0.160 0.014 0.858
O 0.157 0.142 0.303
O 0.843 0.146 0.986
O 0.657 0.053 0.392
Ta 0.000 0.000 0.000
Ta 0.500 0.750 0.250

Record 3
CsTaH2O4 | PBE-GGA | relaxed

Output
M_tot (μB/cell): 0.0

Cell lengths 6.939, 6.939, 7.066 Å; angles 108.51, 108.51, 110.69 degrees
Sites, in units of the cell vectors:
O 0.053 0.287 0.564
O 0.018 0.957 0.246
O 0.710 0.771 0.754
O 0.037 0.303 0.064
O 0.239 0.973 0.936
O 0.707 0.268 0.746
O 0.521 0.960 0.254
O 0.723 0.489 0.436
Ta 0.748 0.248 0.500
Ta 0.998 0.998 0.000
Cs 0.258 0.758 0.500
Cs 0.508 0.508 0.000
H 0.050 0.153 0.439
H 0.903 0.300 0.939
H 0.714 0.611 0.561
H 0.361 0.964 0.061

Record 4
CsTaH2O4 | PBE-GGA | relaxed

Output
M_tot (μB/cell): 0.0

Cell lengths 7.879, 6.413, 5.088 Å; angles 90.00, 107.35, 90.00 degrees
Sites, in units of the cell vectors:
Ta 0.270 0.750 0.521
Ta 0.730 0.250 0.479
O 0.879 0.020 0.598
O 0.121 0.980 0.402
O 0.474 0.750 0.394
O 0.121 0.520 0.402
O 0.346 0.750 0.895
O 0.879 0.480 0.598
O 0.654 0.250 0.105
O 0.526 0.250 0.606
H 0.000 0.000 0.500
H 0.570 0.250 0.823
H 0.430 0.750 0.177
H 0.000 0.500 0.500
Cs 0.767 0.750 0.005
Cs 0.233 0.250 0.995

Record 5
Cs2H2Pd | PBE-GGA | relaxed

Cell lengths 8.612, 8.607, 8.568 Å; angles 90.00, 90.53, 90.00 degrees
Sites, in units of the cell vectors:
Pd 0.750 0.000 0.250
Pd 0.250 0.500 0.250
Pd 0.250 0.000 0.750
Pd 0.750 0.500 0.750
Cs 0.041 0.247 0.476
Cs 0.959 0.753 0.524
Cs 0.540 0.253 0.476
Cs 0.460 0.753 0.024
Cs 0.460 0.747 0.524
Cs 0.540 0.247 0.976
Cs 0.041 0.253 0.976
Cs 0.959 0.747 0.024
H 0.299 0.187 0.720
H 0.201 0.812 0.780
H 0.201 0.688 0.280
H 0.799 0.188 0.220
H 0.701 0.687 0.780
H 0.299 0.313 0.220
H 0.701 0.813 0.280
H 0.799 0.312 0.720

Record 6
CsRbH2Pd | PBE-GGA | relaxed

Cell lengths 6.822, 6.822, 6.822 Å; angles 46.04, 46.04, 46.04 degrees
Sites, in units of the cell vectors:
Pd 0.593 0.593 0.593
Cs 0.339 0.339 0.339
H 0.501 0.501 0.501
H 0.686 0.686 0.686
Rb 0.840 0.840 0.840

Electronic total energy for the records above, in order: -5.748, -6.349, -6.852, -6.828, -2.978, -2.994 eV/atom